No. 1
Density functional theory data (GGA-PBE) for a relaxed RuC crystal.

Cell: 4.087 4.087 4.087 Å, 90.00 90.00 90.00°
Fractional coordinates of all 6 atoms:
Ru: 0.000 0.000 0.500
Ru: 0.000 0.500 0.000
Ru: 0.500 0.000 0.000
C: 0.000 0.500 0.500
C: 0.500 0.000 0.500
C: 0.500 0.500 0.000

Output
* crystal system: cubic
* symmetry: No. 221
* formation energy: 0.86 eV/atom


No. 2
Density functional theory data (GGA-PBE) for a relaxed CeRhAu2 crystal.

Cell: 4.642 4.642 13.554 Å, 90.00 90.00 120.00°
Fractional coordinates of all 12 atoms:
Ce: 0.000 0.000 0.000
Ce: 0.333 0.667 0.667
Ce: 0.667 0.333 0.333
Rh: 0.000 0.000 0.500
Rh: 0.333 0.667 0.167
Rh: 0.667 0.333 0.833
Au: 0.000 0.000 0.222
Au: 0.000 0.000 0.778
Au: 0.333 0.667 0.445
Au: 0.333 0.667 0.888
Au: 0.667 0.333 0.112
Au: 0.667 0.333 0.555

Output
* crystal system: trigonal
* symmetry: No. 166
* formation energy: -0.38 eV/atom


No. 3
Density functional theory data (GGA-PBE) for a relaxed CuAs2Ir crystal.

Cell: 6.287 6.287 6.287 Å, 90.00 90.00 90.00°
Fractional coordinates of all 16 atoms:
Cu: 0.000 0.000 0.000
Cu: 0.000 0.500 0.500
Cu: 0.500 0.000 0.500
Cu: 0.500 0.500 0.000
As: 0.000 0.000 0.500
As: 0.000 0.500 0.000
As: 0.250 0.250 0.250
As: 0.250 0.750 0.750
As: 0.500 0.000 0.000
As: 0.500 0.500 0.500
As: 0.750 0.250 0.750
As: 0.750 0.750 0.250
Ir: 0.250 0.250 0.750
Ir: 0.250 0.750 0.250
Ir: 0.750 0.250 0.250
Ir: 0.750 0.750 0.750

Output
* crystal system: cubic
* symmetry: No. 216
* formation energy: 0.45 eV/atom


No. 4
Density functional theory data (GGA-PBE) for a relaxed CdInCoCu crystal.

Cell: 6.339 6.339 6.339 Å, 90.00 90.00 90.00°
Fractional coordinates of all 16 atoms:
Cd: 0.000 0.000 0.000
Cd: 0.000 0.500 0.500
Cd: 0.500 0.000 0.500
Cd: 0.500 0.500 0.000
In: 0.000 0.000 0.500
In: 0.000 0.500 0.000
In: 0.500 0.000 0.000
In: 0.500 0.500 0.500
Co: 0.250 0.250 0.750
Co: 0.250 0.750 0.250
Co: 0.750 0.250 0.250
Co: 0.750 0.750 0.750
Cu: 0.250 0.250 0.250
Cu: 0.250 0.750 0.750
Cu: 0.750 0.250 0.750
Cu: 0.750 0.750 0.250

Output
* crystal system: cubic
* symmetry: No. 216
* formation energy: 0.18 eV/atom


No. 5
Density functional theory data (GGA-PBE) for a relaxed CaFeBi2Ir crystal.

Cell: 5.070 5.070 4.735 Å, 90.00 90.00 90.00°
Fractional coordinates of all 5 atoms:
Ca: 0.000 0.000 0.000
Fe: 0.500 0.500 0.500
Bi: 0.000 0.500 0.500
Bi: 0.500 0.000 0.500
Ir: 0.500 0.500 0.000

Output
* crystal system: tetragonal
* symmetry: No. 123
* formation energy: 0.36 eV/atom


No. 6
Density functional theory data (GGA-PBE) for a relaxed HoZnPbAu crystal.

Cell: 7.106 7.106 7.106 Å, 90.00 90.00 90.00°
Fractional coordinates of all 16 atoms:
Ho: 0.000 0.000 0.000
Ho: 0.000 0.500 0.500
Ho: 0.500 0.000 0.500
Ho: 0.500 0.500 0.000
Zn: 0.250 0.250 0.750
Zn: 0.250 0.750 0.250
Zn: 0.750 0.250 0.250
Zn: 0.750 0.750 0.750
Pb: 0.000 0.000 0.500
Pb: 0.000 0.500 0.000
Pb: 0.500 0.000 0.000
Pb: 0.500 0.500 0.500
Au: 0.250 0.250 0.250
Au: 0.250 0.750 0.750
Au: 0.750 0.250 0.750
Au: 0.750 0.750 0.250

Output
* crystal system: cubic
* symmetry: No. 216
* formation energy: -0.37 eV/atom


No. 7
Density functional theory data (GGA-PBE) for a relaxed Tb3PmPd6 crystal.

Cell: 8.181 4.582 11.569 Å, 90.00 103.03 90.00°
Fractional coordinates of all 20 atoms:
Tb: 0.017 0.250 0.124
Tb: 0.138 0.250 0.685
Tb: 0.311 0.750 0.506
Tb: 0.689 0.250 0.494
Tb: 0.862 0.750 0.315
Tb: 0.983 0.750 0.876
Pm: 0.404 0.750 0.094
Pm: 0.596 0.250 0.906
Pd: 0.062 0.250 0.419
Pd: 0.167 0.750 0.254
Pd: 0.226 0.250 0.940
Pd: 0.348 0.750 0.794
Pd: 0.355 0.250 0.317
Pd: 0.458 0.250 0.652
Pd: 0.542 0.750 0.348
Pd: 0.645 0.750 0.683
Pd: 0.652 0.250 0.206
Pd: 0.774 0.750 0.060
Pd: 0.833 0.250 0.746
Pd: 0.938 0.750 0.581

Output
* crystal system: monoclinic
* symmetry: No. 11
* formation energy: -0.83 eV/atom


No. 8
Density functional theory data (GGA-PBE) for a relaxed ScNb4Tc2 crystal.

Cell: 4.689 4.689 12.979 Å, 90.00 90.00 90.00°
Fractional coordinates of all 14 atoms:
Sc: 0.000 0.000 0.000
Sc: 0.500 0.500 0.500
Nb: 0.000 0.000 0.200
Nb: 0.000 0.000 0.800
Nb: 0.000 0.500 0.000
Nb: 0.000 0.500 0.500
Nb: 0.500 0.000 0.000
Nb: 0.500 0.000 0.500
Nb: 0.500 0.500 0.300
Nb: 0.500 0.500 0.700
Tc: 0.000 0.000 0.380
Tc: 0.000 0.000 0.620
Tc: 0.500 0.500 0.120
Tc: 0.500 0.500 0.880

Output
* crystal system: tetragonal
* symmetry: No. 139
* formation energy: 1.26 eV/atom


No. 9
Density functional theory data (GGA-PBE) for a relaxed MoPd6Pt2 crystal.

Cell: 5.643 5.643 11.602 Å, 90.00 90.00 90.00°
Fractional coordinates of all 18 atoms:
Mo: 0.000 0.000 0.000
Mo: 0.500 0.500 0.500
Pd: 0.200 0.200 0.500
Pd: 0.214 0.786 0.385
Pd: 0.214 0.786 0.615
Pd: 0.286 0.286 0.115
Pd: 0.286 0.286 0.885
Pd: 0.300 0.700 0.000
Pd: 0.700 0.300 0.000
Pd: 0.714 0.714 0.115
Pd: 0.714 0.714 0.885
Pd: 0.786 0.214 0.385
Pd: 0.786 0.214 0.615
Pd: 0.800 0.800 0.500
Pt: 0.000 0.000 0.221
Pt: 0.000 0.000 0.779
Pt: 0.500 0.500 0.279
Pt: 0.500 0.500 0.721

Output
* crystal system: tetragonal
* symmetry: No. 136
* formation energy: 0.62 eV/atom


No. 10
Density functional theory data (GGA-PBE) for a relaxed ZrTiPt crystal.

Cell: 8.703 5.350 5.350 Å, 61.29 90.00 90.00°
Fractional coordinates of all 12 atoms:
Zr: 0.186 0.000 0.000
Zr: 0.303 0.666 0.666
Zr: 0.697 0.666 0.666
Zr: 0.814 0.000 0.000
Ti: 0.000 0.476 0.476
Ti: 0.500 0.155 0.155
Ti: 0.500 0.161 0.671
Ti: 0.500 0.671 0.161
Pt: 0.000 0.477 0.966
Pt: 0.000 0.966 0.477
Pt: 0.259 0.330 0.330
Pt: 0.741 0.330 0.330

Output
* crystal system: orthorhombic
* symmetry: No. 38
* formation energy: -0.71 eV/atom


No. 11
Density functional theory data (GGA-PBE) for a relaxed CdInNi2 crystal.

Cell: 3.152 3.114 6.319 Å, 90.00 90.08 90.00°
Fractional coordinates of all 4 atoms:
Cd: 0.000 0.000 0.000
In: 0.000 0.000 0.500
Ni: 0.500 0.500 0.260
Ni: 0.500 0.500 0.740

Output
* crystal system: monoclinic
* symmetry: No. 10
* formation energy: -0.03 eV/atom


No. 12
Density functional theory data (GGA-PBE) for a relaxed LiEuMg crystal.

Cell: 5.361 5.361 3.491 Å, 90.00 90.00 120.00°
Fractional coordinates of all 3 atoms:
Li: 0.000 0.000 0.000
Eu: 0.333 0.667 0.498
Mg: 0.667 0.333 0.996

Output
* crystal system: trigonal
* symmetry: No. 156
* formation energy: 0.01 eV/atom


No. 13
Density functional theory data (GGA-PBE) for a relaxed CaMnHg3 crystal.

Cell: 5.153 5.153 5.153 Å, 90.00 90.00 90.00°
Fractional coordinates of all 5 atoms:
Ca: 0.000 0.000 0.000
Mn: 0.500 0.500 0.500
Hg: 0.000 0.500 0.500
Hg: 0.500 0.000 0.500
Hg: 0.500 0.500 0.000

Output
* crystal system: cubic
* symmetry: No. 221
* formation energy: 0.10 eV/atom


No. 14
Density functional theory data (GGA-PBE) for a relaxed ScAu2Cl crystal.

Cell: 9.098 3.459 6.980 Å, 90.00 100.33 90.00°
Fractional coordinates of all 8 atoms:
Sc: 0.000 0.000 0.000
Sc: 0.500 0.500 0.000
Au: 0.233 0.500 0.153
Au: 0.471 0.000 0.314
Au: 0.733 0.000 0.153
Au: 0.971 0.500 0.314
Cl: 0.421 0.000 0.739
Cl: 0.921 0.500 0.739

Output
* crystal system: monoclinic
* formation energy without anion corrections: -0.83 eV per atom
* symmetry: No. 8


No. 15
Density functional theory data (GGA-PBE) for a relaxed ZnReOsW crystal.

Cell: 6.201 6.201 6.201 Å, 90.00 90.00 90.00°
Fractional coordinates of all 16 atoms:
Zn: 0.000 0.000 0.000
Zn: 0.000 0.500 0.500
Zn: 0.500 0.000 0.500
Zn: 0.500 0.500 0.000
Re: 0.250 0.250 0.250
Re: 0.250 0.750 0.750
Re: 0.750 0.250 0.750
Re: 0.750 0.750 0.250
Os: 0.250 0.250 0.750
Os: 0.250 0.750 0.250
Os: 0.750 0.250 0.250
Os: 0.750 0.750 0.750
W: 0.000 0.000 0.500
W: 0.000 0.500 0.000
W: 0.500 0.000 0.000
W: 0.500 0.500 0.500

Output
* crystal system: cubic
* symmetry: No. 216
* formation energy: 0.16 eV/atom


No. 16
Density functional theory data (GGA-PBE) for a relaxed Nd2AlPt6 crystal.

Cell: 5.676 5.676 6.309 Å, 102.17 102.17 60.26°
Fractional coordinates of all 9 atoms:
Nd: 0.144 0.144 0.355
Nd: 0.856 0.856 0.645
Al: 0.500 0.500 0.500
Pt: 0.109 0.623 0.190
Pt: 0.377 0.891 0.810
Pt: 0.380 0.380 0.809
Pt: 0.620 0.620 0.191
Pt: 0.623 0.109 0.190
Pt: 0.891 0.377 0.810

Output
* crystal system: monoclinic
* symmetry: No. 12
* formation energy: -1.03 eV/atom


No. 17
Density functional theory data (GGA-PBE) for a relaxed Pm8Ge2Bi crystal.

Cell: 10.455 10.455 7.343 Å, 104.05 104.05 25.99°
Fractional coordinates of all 11 atoms:
Pm: 0.037 0.037 0.257
Pm: 0.216 0.216 0.838
Pm: 0.331 0.331 0.506
Pm: 0.397 0.397 0.025
Pm: 0.603 0.603 0.975
Pm: 0.669 0.669 0.494
Pm: 0.784 0.784 0.162
Pm: 0.963 0.963 0.743
Ge: 0.186 0.186 0.241
Ge: 0.814 0.814 0.759
Bi: 0.500 0.500 0.500

Output
* crystal system: monoclinic
* symmetry: No. 12
* formation energy: -0.41 eV/atom


No. 18
Density functional theory data (GGA-PBE) for a relaxed Tb2Pr8Sm3 crystal.

Cell: 9.298 9.298 5.855 Å, 105.12 105.12 73.91°
Fractional coordinates of all 13 atoms:
Tb: 0.172 0.172 0.307
Tb: 0.828 0.828 0.693
Pr: 0.076 0.076 0.741
Pr: 0.101 0.560 0.336
Pr: 0.337 0.337 0.877
Pr: 0.440 0.899 0.664
Pr: 0.560 0.101 0.336
Pr: 0.663 0.663 0.123
Pr: 0.899 0.440 0.664
Pr: 0.924 0.924 0.259
Sm: 0.251 0.749 0.000
Sm: 0.500 0.500 0.500
Sm: 0.749 0.251 0.000

Output
* crystal system: monoclinic
* symmetry: No. 12
* formation energy: 0.17 eV/atom


No. 19
Density functional theory data (GGA-PBE) for a relaxed TcPbN2O crystal.

Cell: 4.344 4.344 4.209 Å, 90.00 90.00 90.00°
Fractional coordinates of all 5 atoms:
Tc: 0.000 0.000 0.000
Pb: 0.500 0.500 0.500
N: 0.000 0.500 0.500
N: 0.500 0.000 0.500
O: 0.500 0.500 0.000

Output
* crystal system: tetragonal
* formation energy without anion corrections: 1.80 eV per atom
* symmetry: No. 123


No. 20
Density functional theory data (GGA-PBE) for a relaxed K2Hg2Pd crystal.

Cell: 7.419 7.419 5.525 Å, 90.00 90.00 90.00°
Fractional coordinates of all 10 atoms:
K: 0.176 0.324 0.000
K: 0.324 0.824 0.000
K: 0.676 0.176 0.000
K: 0.824 0.676 0.000
Hg: 0.150 0.650 0.500
Hg: 0.350 0.150 0.500
Hg: 0.650 0.850 0.500
Hg: 0.850 0.350 0.500
Pd: 0.000 0.000 0.500
Pd: 0.500 0.500 0.500

Output
* crystal system: tetragonal
* symmetry: No. 127
* formation energy: -0.15 eV/atom


No. 21
Density functional theory data (GGA-PBE) for a relaxed TlNiGe2Ir crystal.

Cell: 4.720 4.720 5.308 Å, 90.00 90.00 90.00°
Fractional coordinates of all 5 atoms:
Tl: 0.000 0.000 0.000
Ni: 0.500 0.500 0.000
Ge: 0.000 0.500 0.500
Ge: 0.500 0.000 0.500
Ir: 0.000 0.000 0.500

Output
* crystal system: tetragonal
* symmetry: No. 123
* formation energy: 0.65 eV/atom


No. 22
Density functional theory data (GGA-PBE) for a relaxed CsB2H crystal.

Cell: 5.553 5.553 7.843 Å, 90.00 90.00 90.00°
Fractional coordinates of all 16 atoms:
Cs: 0.000 0.250 0.375
Cs: 0.000 0.750 0.625
Cs: 0.500 0.250 0.125
Cs: 0.500 0.750 0.875
B: 0.000 0.000 0.000
B: 0.000 0.500 0.000
B: 0.250 0.250 0.750
B: 0.250 0.750 0.250
B: 0.500 0.000 0.500
B: 0.500 0.500 0.500
B: 0.750 0.250 0.750
B: 0.750 0.750 0.250
H: 0.000 0.250 0.875
H: 0.000 0.750 0.125
H: 0.500 0.250 0.625
H: 0.500 0.750 0.375

Output
* crystal system: tetragonal
* uncorrected energy: -2.61 eV per atom
* symmetry: No. 141


No. 23
Density functional theory data (GGA-PBE) for a relaxed AlSb crystal.

Cell: 11.451 11.451 4.389 Å, 90.00 90.00 90.00°
Fractional coordinates of all 16 atoms:
Al: 0.127 0.710 0.000
Al: 0.210 0.373 0.500
Al: 0.290 0.127 0.000
Al: 0.373 0.790 0.500
Al: 0.627 0.210 0.500
Al: 0.710 0.873 0.000
Al: 0.790 0.627 0.500
Al: 0.873 0.290 0.000
Sb: 0.107 0.281 0.000
Sb: 0.219 0.607 0.500
Sb: 0.281 0.893 0.000
Sb: 0.393 0.219 0.500
Sb: 0.607 0.781 0.500
Sb: 0.719 0.107 0.000
Sb: 0.781 0.393 0.500
Sb: 0.893 0.719 0.000

Output
* crystal system: tetragonal
* formation energy without anion corrections: -0.01 eV per atom
* symmetry: No. 87


No. 24
Density functional theory data (GGA-PBE) for a relaxed TaSiTeF2 crystal.

Cell: 3.932 3.932 5.678 Å, 90.00 90.00 90.00°
Fractional coordinates of all 5 atoms:
Ta: 0.000 0.000 0.000
Si: 0.000 0.000 0.500
Te: 0.500 0.500 0.000
F: 0.000 0.500 0.500
F: 0.500 0.000 0.500

Output
* crystal system: tetragonal
* formation energy without anion corrections: -0.83 eV per atom
* symmetry: No. 123


No. 25
Density functional theory data (GGA-PBE) for a relaxed TbPmCuPb crystal.

Cell: 7.465 7.465 7.465 Å, 90.00 90.00 90.00°
Fractional coordinates of all 16 atoms:
Tb: 0.000 0.000 0.000
Tb: 0.000 0.500 0.500
Tb: 0.500 0.000 0.500
Tb: 0.500 0.500 0.000
Pm: 0.000 0.000 0.500
Pm: 0.000 0.500 0.000
Pm: 0.500 0.000 0.000
Pm: 0.500 0.500 0.500
Cu: 0.250 0.250 0.250
Cu: 0.250 0.750 0.750
Cu: 0.750 0.250 0.750
Cu: 0.750 0.750 0.250
Pb: 0.250 0.250 0.750
Pb: 0.250 0.750 0.250
Pb: 0.750 0.250 0.250
Pb: 0.750 0.750 0.750

Output
* crystal system: cubic
* symmetry: No. 216
* formation energy: -0.30 eV/atom